Compound: Sr2TlRe
Source: Alexandria
Functional: SCAN
Structure: single point on PBEsol structure

Properties
offset from the most stable computed form = 76 kJ/mol of formula units
energy of formation from the pure elements = 0.85 eV/atom

Cell: 3.4104 3.4104 31.6514 Å, 90.00 90.00 120.00°
Space group R-3m (No. 166, hexagonal axes)
Symmetry-distinct sites (fractional):
Sr: 0.0000 0.0000 0.2410 x6
Tl: 0.0000 0.0000 0.0000 x3
Re: 0.0000 0.0000 0.5000 x3


Compound: Zr4CrAu
Source: Alexandria
Functional: SCAN
Structure: single point on PBEsol structure

Properties
energy of formation from the pure elements = 0.33 eV/atom

Cell: 7.841 7.841 7.841 Å, 90.00 90.00 90.00°
Space group F-43m (No. 216)
Symmetry-distinct sites (fractional):
Zr: 0.124 0.124 0.124 x16
Cr: 0.250 0.250 0.750 x4
Au: 0.000 0.000 0.500 x4


Compound: KGeRh2I
Source: Alexandria
Functional: SCAN
Structure: single point on PBEsol structure

Properties
VASP energy = -122.22 eV per cell

Cell: 4.657 4.657 5.754 Å, 90.00 90.00 90.00°
Space group P4/mmm (No. 123)
Symmetry-distinct sites (fractional):
K: 0.000 0.000 0.000 x1
Ge: 0.500 0.500 0.500 x1
Rh: 0.000 0.500 0.000 x2
I: 0.000 0.000 0.500 x1


Compound: LiZrPb
Source: Alexandria
Functional: SCAN
Structure: single point on PBEsol structure

Properties
energy of formation from the pure elements = -0.12 eV/atom

Cell: 3.300 3.300 11.256 Å, 90.00 90.00 90.00°
Space group I4mm (No. 107)
Symmetry-distinct sites (fractional):
Li: 0.000 0.000 0.000 x2
Zr: 0.000 0.000 0.326 x2
Pb: 0.000 0.000 0.635 x2


Compound: YMg2Ag2
Source: Alexandria
Functional: SCAN
Structure: single point on PBEsol structure

Properties
energy of formation from the pure elements = -0.29 eV/atom

Cell: 4.104 4.104 12.800 Å, 90.00 90.00 90.00°
Space group I4/mmm (No. 139)
Symmetry-distinct sites (fractional):
Y: 0.000 0.000 0.000 x2
Mg: 0.000 0.500 0.250 x4
Ag: 0.000 0.000 0.396 x4


Compound: SiIrRh2
Source: Alexandria
Functional: SCAN
Structure: single point on PBEsol structure

Properties
VASP energy = -149.73 eV per cell

Cell: 2.717 3.688 5.304 Å, 90.00 90.00 90.00°
Space group Pmmm (No. 47)
Symmetry-distinct sites (fractional):
Si: 0.000 0.000 0.000 x1
Ir: 0.000 0.000 0.500 x1
Rh: 0.500 0.500 0.243 x2


Compound: RuRh2W
Source: Alexandria
Functional: SCAN
Structure: single point on PBEsol structure

Properties
offset from the most stable computed form = 31 kJ/mol of formula units
energy of formation from the pure elements = -0.12 eV/atom

Cell: 3.850 3.850 7.504 Å, 90.00 90.00 90.00°
Space group I-4m2 (No. 119)
Symmetry-distinct sites (fractional):
Ru: 0.000 0.000 0.000 x2
Rh: 0.000 0.000 0.500 x2
Rh: 0.000 0.500 0.750 x2
W: 0.000 0.500 0.250 x2


Compound: ScCu4Pt
Source: Alexandria
Functional: SCAN
Structure: single point on PBEsol structure

Properties
energy of formation from the pure elements = -0.45 eV/atom

Cell: 6.797 6.797 6.797 Å, 90.00 90.00 90.00°
Space group F-43m (No. 216)
Symmetry-distinct sites (fractional):
Sc: 0.000 0.000 0.000 x4
Cu: 0.125 0.125 0.375 x16
Pt: 0.250 0.250 0.750 x4


Compound: Hf2TcNi
Source: Alexandria
Functional: SCAN
Structure: single point on PBEsol structure

Properties
energy of formation from the pure elements = -0.57 eV/atom

Cell: 6.362 6.362 6.362 Å, 90.00 90.00 90.00°
Space group Fm-3m (No. 225)
Symmetry-distinct sites (fractional):
Hf: 0.250 0.250 0.250 x8
Tc: 0.000 0.000 0.000 x4
Ni: 0.000 0.000 0.500 x4


Compound: TaIrPt2
Source: Alexandria
Functional: SCAN
Structure: single point on PBEsol structure

Properties
offset from the most stable computed form = 83 kJ/mol of formula units
energy of formation from the pure elements = -0.49 eV/atom

Cell: 3.354 3.354 5.522 Å, 90.00 90.00 90.00°
Space group P4mm (No. 99)
Symmetry-distinct sites (fractional):
Ta: 0.000 0.000 0.000 x1
Ir: 0.500 0.500 0.239 x1
Pt: 0.000 0.000 0.492 x1
Pt: 0.500 0.500 0.740 x1


Compound: CaP3O
Source: Alexandria
Functional: SCAN
Structure: single point on PBEsol structure

Properties
VASP energy = -47.53 eV per cell

Cell: 4.247 4.247 4.247 Å, 90.00 90.00 90.00°
Space group Pm-3m (No. 221)
Symmetry-distinct sites (fractional):
Ca: 0.000 0.000 0.000 x1
P: 0.000 0.500 0.500 x3
O: 0.500 0.500 0.500 x1


Compound: Sc3As
Source: Alexandria
Functional: SCAN
Structure: single point on PBEsol structure

Properties
energy of formation from the pure elements = -0.81 eV/atom

Cell: 6.864 8.499 5.735 Å, 90.00 90.00 90.00°
Space group Pnma (No. 62)
Symmetry-distinct sites (fractional):
Sc: 0.023 0.250 0.131 x4
Sc: 0.181 0.046 0.644 x8
As: 0.121 0.750 0.420 x4


no.,calculated density (Mg/m³)
1,8.8
2,8.5
3,5.9
4,8.3
5,5.4
6,13.3
7,14.7
8,10.5
9,13.3
10,20.4
11,3.2
12,4.2